1.
A relaxed Na2Ta2NiS6 crystal, computed with PBE-GGA.

Cell: 6.0869 6.0869 7.1300 Å, 97.12 97.12 120.48°
Last column: magnetic moment on the atom in μB.
Sites, in units of the cell vectors:
S  0.3873  0.0498  0.6934  0.07
S  0.6127  0.9502  0.3066  0.07
Na  0.1763  0.8237  0.0000  0.00
Ni  0.0000  0.0000  0.5000  1.13
Na  0.8237  0.1763  0.0000  0.00
S  0.7394  0.7394  0.7313  0.06
Ta  0.6415  0.3585  0.5000  0.06
S  0.2606  0.2606  0.2687  0.06
S  0.0498  0.3873  0.6934  0.07
S  0.9502  0.6127  0.3066  0.07
Ta  0.3585  0.6415  0.5000  0.06

Calculated values
density of states at the Fermi level	0.196	states/eV per atom

2.
A relaxed NaTaNiS3 crystal, computed with PBE-GGA.

Cell: 3.5061 7.5134 9.0218 Å, 110.22 90.00 90.00°
Sites, in units of the cell vectors:
Na  0.2500  0.2532  0.2822
Ni  0.7500  0.9098  0.3937
S  0.2500  0.7587  0.4562
Ni  0.2500  0.0902  0.6063
Ta  0.7500  0.2979  0.8225
Na  0.7500  0.7468  0.7178
S  0.7500  0.2413  0.5438
S  0.2500  0.5586  0.8684
Ta  0.2500  0.7021  0.1775
S  0.7500  0.4414  0.1316
S  0.2500  0.0823  0.8521
S  0.7500  0.9177  0.1479

Calculated values
density of states at the Fermi level	0.152	states/eV per atom

3.
A relaxed NaTcNiS3 crystal, computed with PBE-GGA.

Cell: 3.5084 7.5379 8.6571 Å, 109.02 90.00 90.00°
Last column: magnetic moment on the atom in μB.
Sites, in units of the cell vectors:
S  0.2500  0.1051  0.8661  0.01
S  0.7500  0.4551  0.1321  0.00
S  0.2500  0.7678  0.4583  -0.01
Tc  0.7500  0.3068  0.8245  0.61
Ni  0.7500  0.9170  0.3910  0.06
S  0.2500  0.5449  0.8679  0.00
Ni  0.2500  0.0830  0.6090  0.06
Na  0.7500  0.7686  0.7455  0.00
S  0.7500  0.8949  0.1339  0.01
Na  0.2500  0.2314  0.2545  0.00
S  0.7500  0.2322  0.5417  -0.01
Tc  0.2500  0.6932  0.1755  0.61

Calculated values
density of states at the Fermi level	0.626	states/eV per atom

4.
A relaxed Na2NiTe2S6 crystal, computed with PBE-GGA.

Cell: 6.5149 6.5149 7.2436 Å, 99.49 99.49 119.52°
Last column: magnetic moment on the atom in μB.
Sites, in units of the cell vectors:
S  0.7777  0.7777  0.7061  0.07
Te  0.3321  0.6679  0.5000  0.00
S  0.3879  0.0740  0.7116  0.07
S  0.9260  0.6121  0.2884  0.07
S  0.2223  0.2223  0.2939  0.07
Na  0.1718  0.8282  0.0000  0.00
Te  0.6679  0.3321  0.5000  0.00
Na  0.8282  0.1718  0.0000  0.00
Ni  0.0000  0.0000  0.5000  1.25
S  0.0740  0.3879  0.7116  0.07
S  0.6121  0.9260  0.2884  0.07

Calculated values
density of states at the Fermi level	0.002	states/eV per atom

5.
A relaxed Na4NiTe3S8 crystal, computed with PBE-GGA.

Cell: 7.4682 7.6685 8.8132 Å, 119.94 115.07 90.00°
Sites, in units of the cell vectors:
S  0.7008  0.2122  0.4015
S  0.2565  0.3576  0.0896
Na  0.0000  0.0000  0.0000
Te  0.5000  0.5000  0.5000
Na  0.5000  0.0000  0.5000
Ni  0.0000  0.5000  0.0000
S  0.2137  0.2221  0.4274
S  0.2992  0.7878  0.5985
S  0.7435  0.6424  0.9104
Te  0.0000  0.5000  0.5000
S  0.8331  0.3576  0.0896
Na  0.0000  0.0000  0.5000
Te  0.5000  0.5000  0.0000
S  0.7863  0.7779  0.5726
S  0.1669  0.6424  0.9104
Na  0.5000  0.0000  0.0000

6.
A relaxed Na3NiTe3S8 crystal, computed with PBE-GGA.

Cell: 7.3013 8.6310 7.9404 Å, 121.24 90.00 115.02°
Sites, in units of the cell vectors:
S  0.7100  0.4199  0.6864
S  0.7521  0.9386  0.2655
Te  0.5000  0.5000  0.5000
Te  0.5000  0.0000  0.5000
S  0.2479  0.0614  0.7345
S  0.8147  0.6293  0.3493
S  0.2900  0.5801  0.3136
Ni  0.0000  0.0000  0.5000
S  0.8135  0.0614  0.7345
Na  0.0000  0.0000  0.0000
S  0.1853  0.3707  0.6507
S  0.1865  0.9386  0.2655
Na  0.5000  0.5000  0.0000
Na  0.0000  0.5000  0.0000
Te  0.0000  0.5000  0.5000

Calculated values
density of states at the Fermi level	0.364	states/eV per atom

7.
A relaxed Na3Th2NiS6 crystal, computed with PBE-GGA.

Cell: 6.9322 6.9322 7.0780 Å, 98.91 98.91 120.96°
Last column: magnetic moment on the atom in μB.
Sites, in units of the cell vectors:
S  0.4092  0.0761  0.2333  0.02
S  0.9239  0.5908  0.7667  0.02
S  0.5908  0.9239  0.7667  0.02
Th  0.6666  0.3334  0.0000  -0.01
Na  0.5000  0.5000  0.5000  0.00
Na  0.1625  0.8375  0.5000  0.00
Th  0.3334  0.6666  0.0000  -0.01
S  0.7624  0.7624  0.2146  0.02
Na  0.8375  0.1625  0.5000  0.00
S  0.0761  0.4092  0.2333  0.02
Ni  0.0000  0.0000  0.0000  0.89
S  0.2376  0.2376  0.7854  0.02

Calculated values
density of states at the Fermi level	0.532	states/eV per atom

8.
A relaxed Na3Th3NiS8 crystal, computed with PBE-GGA.

Cell: 8.1986 8.0268 8.1281 Å, 119.21 90.00 120.71°
Last column: magnetic moment on the atom in μB.
Sites, in units of the cell vectors:
S  0.7881  0.5761  0.3055  0.02
Na  0.0000  0.0000  0.0000  0.00
Na  0.5000  0.5000  0.0000  0.00
S  0.2480  0.9823  0.7263  0.02
Na  0.0000  0.5000  0.0000  0.00
S  0.7520  0.0177  0.2737  0.02
Th  0.0000  0.5000  0.5000  -0.02
S  0.2509  0.5017  0.2584  0.00
S  0.7343  0.9823  0.7263  0.02
Th  0.5000  0.0000  0.5000  -0.01
S  0.2119  0.4239  0.6945  0.02
Th  0.5000  0.5000  0.5000  -0.02
S  0.2657  0.0177  0.2737  0.02
Ni  0.0000  0.0000  0.5000  0.91
S  0.7491  0.4983  0.7416  0.00

Calculated values
density of states at the Fermi level	0.340	states/eV per atom

9.
A relaxed Na3Ti2NiS6 crystal, computed with PBE-GGA.

Cell: 6.2070 6.2070 6.8932 Å, 98.64 98.64 120.01°
Last column: magnetic moment on the atom in μB.
Sites, in units of the cell vectors:
Na  0.1664  0.8336  0.5000  0.00
S  0.7361  0.7361  0.2049  0.06
Na  0.5000  0.5000  0.5000  0.00
S  0.2639  0.2639  0.7951  0.06
S  0.0682  0.4005  0.2046  0.06
S  0.5995  0.9318  0.7954  0.06
Ti  0.3334  0.6666  0.0000  -0.28
S  0.9318  0.5995  0.7954  0.06
Ti  0.6666  0.3334  0.0000  -0.28
S  0.4005  0.0682  0.2046  0.06
Na  0.8336  0.1664  0.5000  0.00
Ni  0.0000  0.0000  0.0000  1.06

Calculated values
density of states at the Fermi level	0.500	states/eV per atom

10.
A relaxed Na3Ti3NiS8 crystal, computed with PBE-GGA.

Cell: 7.0206 7.0193 7.8833 Å, 116.44 89.97 120.03°
Last column: magnetic moment on the atom in μB.
Sites, in units of the cell vectors:
Na  0.5000  0.5000  0.0000  0.00
S  0.2312  0.4626  0.7001  0.03
Ti  0.5000  0.5000  0.5000  0.33
Na  0.0000  0.5000  0.0000  0.00
S  0.2315  0.9689  0.7003  0.03
Ti  0.0000  0.5000  0.5000  0.34
Ti  0.5000  0.0000  0.5000  0.36
S  0.7375  0.9688  0.7000  0.03
S  0.2625  0.0312  0.3000  0.03
S  0.7685  0.0311  0.2997  0.03
S  0.2631  0.5261  0.2893  -0.01
S  0.7369  0.4739  0.7107  -0.01
Na  0.0000  0.0000  0.0000  0.00
Ni  0.0000  0.0000  0.5000  0.86
S  0.7688  0.5374  0.2999  0.03

Calculated values
density of states at the Fermi level	0.439	states/eV per atom

11.
A relaxed NaTiNiS2 crystal, computed with PBE-GGA.

Cell: 4.5121 6.8585 6.1248 Å, 101.82 90.00 90.00°
Last column: magnetic moment on the atom in μB.
Sites, in units of the cell vectors:
Ni  0.0000  0.0000  0.5000  0.00
Ti  0.4961  0.0000  0.2500  0.48
S  0.6977  0.2473  0.5546  -0.01
S  0.3023  0.2473  0.0546  -0.01
Ti  0.5039  0.0000  0.7500  0.48
Na  0.7973  0.5000  0.2500  0.00
Ni  0.0000  0.0000  0.0000  0.00
S  0.3023  0.7527  0.4454  -0.01
Na  0.2027  0.5000  0.7500  0.00
S  0.6977  0.7527  0.9454  -0.01

Calculated values
density of states at the Fermi level	0.391	states/eV per atom

12.
A relaxed Na2TiNi2S4 crystal, computed with PBE-GGA.

Cell: 3.5396 6.9781 6.8281 Å, 109.11 105.02 90.00°
Sites, in units of the cell vectors:
S  0.7990  0.8112  0.5980
Ti  0.0000  0.0000  0.0000
S  0.5113  0.7575  0.0227
Na  0.1326  0.5593  0.2652
Ni  0.6764  0.9890  0.3528
Na  0.8674  0.4407  0.7348
S  0.2010  0.1888  0.4020
Ni  0.3236  0.0110  0.6472
S  0.4887  0.2425  0.9773

Calculated values
density of states at the Fermi level	0.762	states/eV per atom

no.,E_form (uncorrected) (eV per atom),total moment (μB per formula unit)
1,-0.894,1.91
2,-0.973,0.00
3,-0.592,0.75
4,-0.317,1.98
5,-0.428,0.00
6,-0.304,0.00
7,-1.365,1.00
8,-1.432,1.04
9,-1.094,0.96
10,-1.145,2.40
11,-0.945,0.60
12,-0.936,0.01